No. 1
4
Lattice="4.077 0.000 0.000 2.039 3.531 0.000 2.039 1.177 4.933" Properties=species:S:1:pos:R:3 comment="HoBePt2 PBE relaxed" e_form_ev_per_atom=-0.905 de_polymorph_mev_per_atom=143.9 pbc="T T T"
Be 4.077 2.354 2.466
Pt 2.039 1.177 1.782
Pt 6.116 3.531 3.151
Ho 0.000 0.000 0.000

---

No. 2
14
Lattice="-0.185 1.909 4.188 5.341 -0.259 2.887 4.204 13.270 -3.330" Properties=species:S:1:pos:R:3 comment="Y3ZnIn3 PBE relaxed" e_form_ev_per_atom=-0.455 pbc="T T T"
Zn 2.013 6.525 2.180
Zn 7.347 8.395 1.564
Y 5.276 12.899 -0.581
Y 4.157 9.135 1.086
Y 7.125 11.504 2.670
Y 5.203 5.785 2.659
Y 2.235 3.416 1.074
Y 4.084 2.021 4.325
In 6.046 8.682 3.908
In 5.151 4.766 5.654
In 8.312 12.297 -0.172
In 3.315 6.238 -0.164
In 1.048 2.623 3.916
In 4.209 10.154 -1.910

---

No. 3
10
Lattice="5.794 0.000 0.000 0.000 5.794 0.000 0.000 0.000 2.805" Properties=species:S:1:pos:R:3 comment="TiMn2B2 PBE relaxed" e_form_ev_per_atom=-0.440 pbc="T T T"
Mn 1.896 1.001 1.402
Mn 4.793 1.896 1.402
Mn 3.898 4.793 1.402
Mn 1.001 3.898 1.402
B 3.538 0.641 0.000
B 0.641 2.256 0.000
B 2.256 5.153 0.000
B 5.153 3.538 0.000
Ti 2.897 2.897 0.000
Ti 0.000 0.000 0.000